No. 1
An optimized crystal structure of LaNdY2P4. Source: Alexandria via LeMat-Bulk, functional PBE.

Cell lengths 4.121, 7.128, 7.135 Å; angles 70.54, 90.00, 90.00 degrees
Sites, in units of the cell vectors:
La 0.500 0.500 0.000
Nd 0.000 0.500 0.500
Y 0.000 0.000 0.000
Y 0.500 0.000 0.500
P 0.000 0.762 0.744
P 0.000 0.238 0.256
P 0.500 0.760 0.248
P 0.500 0.240 0.752

Output
Formation enthalpy at 0 K ... -12.66 eV per formula unit
Magnetic moment ... 0.00 μB/cell
Space-group type ... No. 10

=====

No. 2
An optimized crystal structure of GeMoPb2. Source: Alexandria via LeMat-Bulk, functional PBE.

Cell lengths 6.401, 6.401, 7.931 Å; angles 66.20, 66.20, 90.00 degrees
Each line ends with the local moment (μB).
Sites, in units of the cell vectors:
Pb 0.629 0.125 0.250  -0.07
Pb 0.121 0.625 0.250  -0.06
Pb 0.375 0.371 0.750  -0.06
Pb 0.875 0.879 0.750  -0.07
Mo 0.000 0.000 0.000  1.85
Mo 0.750 0.250 0.500  1.85
Ge 0.500 0.500 0.000  0.01
Ge 0.250 0.750 0.500  0.01

Output
Formation enthalpy at 0 K ... 4.51 eV per formula unit
Magnetic moment ... 3.99 μB/cell
Space-group type ... No. 122

=====

> The lowest magnetic moment belongs to which entry?

LaNdY2P4

=====

> The lowest magnetic moment belongs to which entry?

LaNdY2P4

=====

> The highest formation enthalpy at 0 K belongs to which entry?

GeMoPb2